First-principles (PBE) data for Hf2Zr5Sn2 after structural relaxation, as listed in Alexandria via LeMat-Bulk.

Cell lengths 6.0803, 18.0551, 7.5880 Å; angles 90.00, 90.00, 90.00 degrees
With the nearest neighbours (Å) after each atom.
Space group Imma (No. 74)
One atom of each set of equivalent atoms:
1 Hf 0.0000 0.0515 0.1190 (multiplicity 8)  1 Hf 2.59, 2 Zr 2.82
2 Zr 0.0000 0.2500 0.9405 (multiplicity 4)  3 Sn 2.92-3.04, 4 Zr 3.14
3 Zr 0.2500 0.1100 0.7500 (multiplicity 8)  4 Zr 3.04-3.28, 4 Sn 3.14-3.30, 2 Hf 3.36
4 Zr 0.2500 0.1713 0.2500 (multiplicity 8)  2 Hf 2.82, 5 Zr 2.84-3.14, 2 Sn 3.12
5 Sn 0.0000 0.0000 0.5000 (multiplicity 4)  6 Hf 3.04-3.30, 4 Zr 3.14
6 Sn 0.0000 0.2500 0.5557 (multiplicity 4)  7 Zr 2.92-3.12

## Properties
E_form ... -63 meV per atom



First-principles (PBE) data for CeCl3 after structural relaxation, as listed in Alexandria via LeMat-Bulk.

Cell lengths 4.0375, 12.9499, 8.7675 Å; angles 90.00, 90.00, 90.00 degrees
With the nearest neighbours (Å) after each atom.
Space group Cmcm (No. 63)
One atom of each set of equivalent atoms:
1 Ce 0.0000 0.2421 0.2500 (multiplicity 4)  8 Cl 2.77-3.00
2 Cl 0.0000 0.1543 0.5667 (multiplicity 8)  3 Ce 2.91-3.00, 1 Cl 3.21
3 Cl 0.0000 0.4045 0.7500 (multiplicity 4)  2 Ce 2.77

## Properties
Calculated total energy ... -0.187 Ha/atom



First-principles (PBE) data for FeCu2H after structural relaxation, as listed in Alexandria via LeMat-Bulk.

Cell lengths 5.9975, 5.9975, 4.5124 Å; angles 90.00, 90.00, 90.00 degrees
With the nearest neighbours (Å) after each atom.
Space group I-42d (No. 122)
One atom of each set of equivalent atoms:
1 Fe 0.0000 0.0000 0.0000 (multiplicity 4)  2 H 2.26, 4 Cu 2.44
2 Cu 0.1529 0.2500 0.6250 (multiplicity 8)  2 H 1.85
3 H 0.0000 0.0000 0.5000 (multiplicity 4)  4 Cu 1.85

## Properties
E above lowest polymorph ... 338.1 meV per atom